(1)
Below is an optimized crystal structure of BeCdSi2, with properties calculated at the PBE level.

a = 10.326 Å, b = 10.326 Å, c = 10.326 Å
α = 15.08°, β = 15.08°, γ = 15.08°
Positions (direct):
Si  0.018  0.018  0.018
Cd  0.250  0.250  0.250
Si  0.482  0.482  0.482
Be  0.750  0.750  0.750

Calculated values
Space-group type ... No. 166
Spin magnetization ... 0.0 μB/cell
Formation energy from raw total energies ... 445 meV per atom
Distance to the lowest polymorph of the same formula ... 0.289 eV/f.u.
N(E_F) ... 1.632 states/eV/f.u.
Calculated density ... 4542 kg/m3


(2)
Below is an optimized crystal structure of ErTlCuBr5, with properties calculated at the PBE level.

a = 7.717 Å, b = 7.717 Å, c = 10.457 Å
α = 103.80°, β = 103.80°, γ = 106.50°
Site moments in Bohr magnetons follow the coordinates.
Positions (direct):
Br  0.909  0.315  0.112  0.01
Br  0.240  0.379  0.570  0.01
Tl  0.356  0.644  0.250  0.00
Br  0.920  0.080  0.750  0.00
Br  0.315  0.909  0.612  0.01
Cu  0.307  0.693  0.750  0.12
Er  0.000  0.000  0.000  0.00
Br  0.379  0.240  0.070  0.01
Br  0.760  0.621  0.430  0.01
Er  0.000  0.000  0.500  0.00
Br  0.685  0.091  0.388  0.01
Br  0.621  0.760  0.930  0.01
Tl  0.644  0.356  0.750  0.00
Cu  0.693  0.307  0.250  0.12
Br  0.091  0.685  0.888  0.01
Br  0.080  0.920  0.250  0.00

Calculated values
Space-group type ... No. 15
Spin magnetization ... 0.3 μB/cell
Formation energy from raw total energies ... -1195 meV per atom
N(E_F) ... 0.000 states/eV/f.u.
Calculated density ... 5062 kg/m3


(3)
Below is an optimized crystal structure of Nd4PaCo5, with properties calculated at the PBE level.

a = 4.930 Å, b = 7.021 Å, c = 7.021 Å
α = 82.92°, β = 69.45°, γ = 69.45°
Positions (direct):
Co  0.602  0.000  0.000
Co  0.145  0.643  0.000
Nd  0.485  0.712  0.288
Pa  0.081  0.000  0.000
Co  0.788  0.000  0.357
Nd  0.198  0.288  0.288
Co  0.788  0.357  0.000
Co  0.145  0.000  0.643
Nd  0.773  0.712  0.712
Nd  0.485  0.288  0.712

Calculated values
Space-group type ... No. 107
Formation energy ... 0.006 eV/atom
Spin magnetization ... 0.0 μB/cell
N(E_F) ... 10.074 states/eV/f.u.
Calculated density ... 8593 kg/m3


(4)
Below is an optimized crystal structure of TmPuSnO6, with properties calculated at the PBE level.

a = 4.995 Å, b = 4.995 Å, c = 10.100 Å
α = 90.00°, β = 90.00°, γ = 90.00°
Site moments in Bohr magnetons follow the coordinates.
Positions (direct):
Sn  0.500  0.500  0.499  0.02
Tm  0.000  0.000  0.668  0.00
O  0.199  0.801  0.494  -0.07
O  0.695  0.695  0.342  -0.05
Pu  0.500  0.500  0.834  3.39
O  0.805  0.195  0.842  -0.05
O  0.195  0.805  0.842  -0.05
O  0.305  0.305  0.342  -0.05
Tm  0.500  0.500  0.168  0.00
Pu  0.000  0.000  0.334  3.39
O  0.301  0.301  0.994  -0.07
O  0.801  0.199  0.494  -0.07
O  0.699  0.699  0.994  -0.07
O  0.686  0.686  0.663  -0.07
O  0.314  0.314  0.663  -0.07
O  0.186  0.814  0.163  -0.07
O  0.814  0.186  0.163  -0.07
Sn  0.000  0.000  0.999  0.02

Calculated values
Space-group type ... No. 102
Spin magnetization ... 6.0 μB/cell
Formation energy from raw total energies ... -2603 meV per atom
N(E_F) ... 7.722 states/eV/f.u.
Calculated density ... 8271 kg/m3